# 1
VASP calculation (PBE) on a relaxed structure of La2CdSnRu.

Unit cell a=5.296 b=5.296 c=5.280 alpha=90.00 beta=90.00 gamma=90.00
Fractional coordinates of all 5 atoms:
Ru1 0.000 0.000 0.000
Cd1 0.000 0.000 0.500
Sn1 0.500 0.500 0.500
La1 0.000 0.500 0.000
La2 0.500 0.000 0.000

As for the volume: 148 Å³/cell. The value obtained for the total moment is 0.00 μB/f.u. Its formation energy is -0.31 eV/atom.

# 2
VASP calculation (PBE) on a relaxed structure of AgC2.

Unit cell a=8.892 b=8.892 c=8.892 alpha=16.56 beta=16.56 gamma=16.56
Fractional coordinates of all 3 atoms:
C1 0.167 0.167 0.167
C2 0.833 0.833 0.833
Ag1 0.000 0.000 0.000

As for the volume: 50 Å³/cell. The value obtained for the total moment is 0.00 μB/f.u. Its formation energy is 0.38 eV/atom.

# 3
VASP calculation (PBE) on a relaxed structure of CoCuI2.

Unit cell a=6.023 b=6.023 c=7.327 alpha=65.73 beta=65.73 gamma=90.00
Each line ends with the local moment (μB).
Fractional coordinates of all 8 atoms:
I1 0.618 0.125 0.250  0.06
I2 0.132 0.625 0.250  0.06
I3 0.375 0.382 0.750  0.06
I4 0.875 0.868 0.750  0.06
Co1 0.500 0.500 0.000  1.75
Co2 0.250 0.750 0.500  1.77
Cu1 0.000 0.000 0.000  0.04
Cu2 0.750 0.250 0.500  0.04

Its raw total energy is -3.40 eV/atom. As for the volume: 216 Å³/cell. The value obtained for the total moment is 2.00 μB/f.u.

# 4
VASP calculation (PBE) on a relaxed structure of AcCe2PuBi4.

Unit cell a=4.666 b=8.090 c=8.072 alpha=70.51 beta=90.00 gamma=90.00
Each line ends with the local moment (μB).
Fractional coordinates of all 8 atoms:
Ac1 0.000 0.500 0.500  0.00
Ce1 0.000 0.000 0.000  0.69
Ce2 0.500 0.000 0.500  0.77
Pu1 0.500 0.500 0.000  5.38
Bi1 0.000 0.756 0.757  -0.09
Bi2 0.000 0.244 0.243  -0.09
Bi3 0.500 0.763 0.237  -0.06
Bi4 0.500 0.237 0.763  -0.06

As for the volume: 287 Å³/cell. The value obtained for the total moment is 6.93 μB/f.u. Its formation energy is -0.71 eV/atom.

# 5
VASP calculation (PBE) on a relaxed structure of Cu2Ir3Rh8.

Unit cell a=3.970 b=8.269 c=7.303 alpha=124.48 beta=79.32 gamma=90.00
Fractional coordinates of all 13 atoms:
Cu1 0.669 0.695 0.391
Cu2 0.331 0.305 0.609
Ir1 0.500 0.000 0.000
Ir2 0.000 0.224 0.000
Ir3 0.000 0.776 0.000
Rh1 0.777 0.435 0.871
Rh2 0.223 0.565 0.129
Rh3 0.106 0.838 0.676
Rh4 0.894 0.162 0.324
Rh5 0.381 0.926 0.318
Rh6 0.381 0.392 0.318
Rh7 0.619 0.608 0.682
Rh8 0.619 0.074 0.682

As for the volume: 193 Å³/cell. The value obtained for the total moment is 0.00 μB/f.u. Its formation energy is 0.30 eV/atom.

# 6
VASP calculation (PBE) on a relaxed structure of LaPm6Nd12.

Unit cell a=9.027 b=9.733 c=9.733 alpha=69.11 beta=71.99 gamma=108.01
Fractional coordinates of all 19 atoms:
La1 0.000 0.000 0.000
Pm1 0.422 0.474 0.210
Pm2 0.053 0.684 0.526
Pm3 0.368 0.790 0.684
Pm4 0.578 0.526 0.790
Pm5 0.947 0.316 0.474
Pm6 0.632 0.210 0.316
Nd1 0.525 0.842 0.264
Nd2 0.683 0.894 0.842
Nd3 0.789 0.264 0.894
Nd4 0.475 0.158 0.736
Nd5 0.317 0.106 0.158
Nd6 0.211 0.736 0.106
Nd7 0.263 0.422 0.631
Nd8 0.106 0.369 0.053
Nd9 0.159 0.053 0.578
Nd10 0.737 0.578 0.369
Nd11 0.894 0.631 0.947
Nd12 0.841 0.947 0.422

As for the volume: 670 Å³/cell. The value obtained for the total moment is 0.00 μB/f.u. Its formation energy is 0.01 eV/atom.

# 7
VASP calculation (PBE) on a relaxed structure of KCa2Ag2F7.

Unit cell a=4.464 b=4.656 c=10.999 alpha=102.22 beta=101.71 gamma=90.00
Fractional coordinates of all 12 atoms:
K1 0.000 0.061 0.000
Ca1 0.395 0.397 0.791
Ca2 0.605 0.606 0.209
Ag1 0.273 0.772 0.545
Ag2 0.727 0.227 0.455
F1 0.391 0.889 0.781
F2 0.716 0.716 0.433
F3 0.097 0.594 0.195
F4 0.609 0.108 0.219
F5 0.284 0.283 0.567
F6 0.903 0.399 0.805
F7 0.500 0.448 0.000

Its raw total energy is -4.69 eV/atom. As for the volume: 219 Å³/cell. The value obtained for the total moment is 0.00 μB/f.u.

# 8
VASP calculation (PBE) on a relaxed structure of Pu3GaPt2.

Unit cell a=3.789 b=3.789 c=8.926 alpha=90.00 beta=90.00 gamma=90.00
Each line ends with the local moment (μB).
Fractional coordinates of all 6 atoms:
Pu1 0.000 0.000 0.000  5.37
Pu2 0.000 0.000 0.670  5.34
Pu3 0.000 0.000 0.330  5.34
Ga1 0.500 0.500 0.500  -0.01
Pt1 0.500 0.500 0.832  -0.02
Pt2 0.500 0.500 0.168  -0.02

As for the volume: 128 Å³/cell. The value obtained for the total moment is 16.66 μB/f.u. Its formation energy is -0.60 eV/atom.

# 9
VASP calculation (PBE) on a relaxed structure of HoU6S8.

Unit cell a=7.055 b=7.055 c=7.055 alpha=81.62 beta=81.62 gamma=81.62
Each line ends with the local moment (μB).
Fractional coordinates of all 15 atoms:
Ho1 0.000 0.000 0.000  0.01
U1 0.513 0.374 0.792  0.53
U2 0.374 0.792 0.513  0.53
U3 0.792 0.513 0.374  0.53
U4 0.487 0.626 0.208  0.53
U5 0.626 0.208 0.487  0.53
U6 0.208 0.487 0.626  0.53
S1 0.694 0.694 0.694  -0.01
S2 0.306 0.306 0.306  -0.01
S3 0.651 0.940 0.231  -0.01
S4 0.940 0.231 0.651  -0.01
S5 0.231 0.651 0.940  -0.01
S6 0.349 0.060 0.769  -0.01
S7 0.060 0.769 0.349  -0.01
S8 0.769 0.349 0.060  -0.01

Its raw total energy is -7.98 eV/atom. As for the volume: 341 Å³/cell. The value obtained for the total moment is 3.22 μB/f.u.

# 10
VASP calculation (PBE) on a relaxed structure of LiCa3N.

Unit cell a=4.995 b=4.995 c=4.995 alpha=90.00 beta=90.00 gamma=90.00
Fractional coordinates of all 5 atoms:
Ca1 0.000 0.500 0.000
Ca2 0.000 0.000 0.500
Ca3 0.500 0.000 0.000
Li1 0.500 0.500 0.500
N1 0.000 0.000 0.000

Its raw total energy is -3.65 eV/atom. As for the volume: 125 Å³/cell. The value obtained for the total moment is 0.00 μB/f.u.

# 11
VASP calculation (PBE) on a relaxed structure of Np2PaCo2S6.

Unit cell a=6.682 b=6.469 c=7.046 alpha=113.20 beta=90.00 gamma=121.09
Each line ends with the local moment (μB).
Fractional coordinates of all 11 atoms:
Np1 0.728 0.457 0.167  3.79
Np2 0.272 0.543 0.833  3.79
Pa1 0.500 0.000 0.500  0.34
Co1 0.965 0.930 0.639  -1.41
Co2 0.035 0.070 0.361  -1.41
S1 0.752 0.504 0.573  -0.08
S2 0.176 0.847 0.161  -0.09
S3 0.329 0.153 0.839  -0.09
S4 0.824 0.153 0.839  -0.09
S5 0.671 0.847 0.161  -0.09
S6 0.248 0.496 0.427  -0.08

Its raw total energy is -7.72 eV/atom. As for the volume: 232 Å³/cell. The value obtained for the total moment is 4.99 μB/f.u.

# 12
VASP calculation (PBE) on a relaxed structure of Ti2BiPd2.

Unit cell a=3.821 b=3.821 c=7.180 alpha=74.57 beta=74.57 gamma=90.00
Each line ends with the local moment (μB).
Fractional coordinates of all 5 atoms:
Bi1 0.000 0.000 0.000  -0.05
Pd1 0.750 0.250 0.500  0.00
Pd2 0.250 0.750 0.500  0.00
Ti1 0.389 0.389 0.223  0.69
Ti2 0.611 0.611 0.777  0.69

As for the volume: 97 Å³/cell. The value obtained for the total moment is 1.72 μB/f.u. Its formation energy is -0.16 eV/atom.